Entry 1:
AsOs2Br | PBE | optimized geometry

Summary:
The space-group type is R-3m, No. 166. As for the crystal system: trigonal. The value obtained for the calculated volume is 64.4 Å³/cell. The calculation puts the total energy at -6.358 eV/atom. Its formation energy without anion corrections is 0.84 eV per atom.

a b c (Å): 8.3437 8.3437 8.3437
angles (deg): 20.84 20.84 20.84
Closest atoms and distances in Å follow each position.
Positions (direct):
As 0.0000 0.0000 0.0000  6 Os 2.53
Os 0.2584 0.2584 0.2584  3 As 2.53
Os 0.7416 0.7416 0.7416  3 As 2.53
Br 0.5000 0.5000 0.5000  6 Os 2.84, 6 Br 3.02

---

Entry 2:
AsOs2Br | PBE | optimized geometry

Summary:
The space-group type is P4/mmm, No. 123. As for the crystal system: tetragonal. The value obtained for the calculated volume is 65.1 Å³/cell. The calculation puts the total energy at -6.197 eV/atom. Its formation energy without anion corrections is 1.00 eV per atom.

a b c (Å): 3.0935 3.0935 6.8076
angles (deg): 90.00 90.00 90.00
Closest atoms and distances in Å follow each position.
Positions (direct):
As 0.0000 0.0000 0.0000  8 Os 2.59
Os 0.5000 0.5000 0.2035  4 As 2.59, 1 Os 2.77
Os 0.5000 0.5000 0.7965  4 As 2.59, 1 Os 2.77
Br 0.0000 0.0000 0.5000  8 Os 2.98, 4 Br 3.09

---

Entry 3:
As2OsBr2 | PBE | optimized geometry

Summary:
The space-group type is I4/mmm, No. 139. As for the crystal system: tetragonal. The value obtained for the calculated volume is 134.5 Å³/cell. The calculation puts the total energy at -3.969 eV/atom. Its formation energy without anion corrections is 0.81 eV per atom.

a b c (Å): 10.4795 10.4795 10.4795
angles (deg): 160.00 160.00 28.43
Closest atoms and distances in Å follow each position.
Positions (direct):
As 0.0606 0.0606 0.0000  1 As 2.46
As 0.9394 0.9394 0.0000  1 As 2.46
Os 0.5000 0.5000 0.0000  8 As 2.85
Br 0.2500 0.7500 0.5000  4 Br 2.57
Br 0.7500 0.2500 0.5000  4 Br 2.57

---

Entry 4:
AsOs2Br | PBE | optimized geometry

Summary:
The space-group type is Cmm2, No. 35. As for the crystal system: orthorhombic. The value obtained for the calculated volume is 74.1 Å³/cell. The calculation puts the total energy at -6.397 eV/atom. Its formation energy without anion corrections is 0.80 eV per atom.

a b c (Å): 2.8987 2.8987 10.3681
angles (deg): 90.00 90.00 121.70
Closest atoms and distances in Å follow each position.
Positions (direct):
As 0.0000 0.0000 0.0000  2 Os 2.61, 6 As 2.82-2.90
Os 0.0000 0.0000 0.4181  4 Os 2.56-2.82, 2 Br 2.84
Os 0.5000 0.5000 0.2116  4 Os 2.56-2.82, 2 As 2.61
Br 0.5000 0.5000 0.6563  6 Br 2.82-2.90, 2 Os 2.84

---

Entry 5:
AsOs2Br | PBE | optimized geometry

Summary:
The space-group type is C2/m, No. 12. As for the crystal system: monoclinic. The value obtained for the calculated volume is 69.8 Å³/cell. The calculation puts the total energy at -6.322 eV/atom. Its formation energy without anion corrections is 0.87 eV per atom.

a b c (Å): 4.1876 4.1876 6.0136
angles (deg): 101.55 101.55 42.70
Closest atoms and distances in Å follow each position.
Positions (direct):
As 0.0000 0.0000 0.0000  6 Os 2.49-2.51
Os 0.2554 0.2554 0.8123  3 As 2.49-2.51, 2 Os 2.74
Os 0.7446 0.7446 0.1877  3 As 2.49-2.51, 2 Os 2.74
Br 0.5000 0.5000 0.5000  6 Os 2.87-2.95, 2 Br 3.05

---

Entry 6:
AsOs2Br | PBE | optimized geometry

Summary:
The space-group type is Cm, No. 8. As for the crystal system: monoclinic. The value obtained for the calculated volume is 91.5 Å³/cell. The calculation puts the total energy at -6.737 eV/atom. Its formation energy without anion corrections is 0.46 eV per atom.

a b c (Å): 4.1755 4.1755 8.1365
angles (deg): 99.68 99.68 40.99
Closest atoms and distances in Å follow each position.
Positions (direct):
As 0.0000 0.0000 0.0000  3 Os 2.59-2.65
Os 0.3790 0.3790 0.6905  1 Br 2.38, 3 Os 2.41-2.55
Os 0.6781 0.6781 0.8285  3 Os 2.41-2.55, 3 As 2.59-2.65
Br 0.3202 0.3202 0.3932  1 Os 2.38

---

Entry 7:
AsOs2Br | PBE | optimized geometry

Summary:
The space-group type is Cmmm, No. 65. As for the crystal system: orthorhombic. The value obtained for the calculated volume is 67.5 Å³/cell. The calculation puts the total energy at -6.160 eV/atom. Its formation energy without anion corrections is 1.04 eV per atom.

a b c (Å): 3.0370 3.0370 8.6240
angles (deg): 90.00 90.00 122.01
Closest atoms and distances in Å follow each position.
Positions (direct):
As 0.0000 0.0000 0.0000  4 Os 2.43
Os 0.5000 0.5000 0.2236  2 As 2.43
Os 0.5000 0.5000 0.7764  2 As 2.43
Br 0.0000 0.0000 0.5000  4 Os 2.80, 6 Br 2.94-3.04

---

Entry 8:
AsOs2Br | PBE | optimized geometry

Summary:
The space-group type is Immm, No. 71. As for the crystal system: orthorhombic. The value obtained for the calculated volume is 67.6 Å³/cell. The calculation puts the total energy at -6.059 eV/atom. Its formation energy without anion corrections is 1.14 eV per atom.

a b c (Å): 5.3002 5.3002 5.3002
angles (deg): 148.32 118.65 70.71
Closest atoms and distances in Å follow each position.
Positions (direct):
As 0.0000 0.0000 0.0000  4 Os 2.46
Os 0.2306 0.7306 0.5000  2 As 2.46, 2 Br 2.74
Os 0.7694 0.2694 0.5000  2 As 2.46, 2 Br 2.74
Br 0.5000 0.5000 0.0000  4 Os 2.74, 2 Br 2.89, 4 As 3.07

---

Entry 9:
AsOsBr3 | PBE | optimized geometry

Summary:
The space-group type is Pm-3m, No. 221. As for the crystal system: cubic. The value obtained for the calculated volume is 131.5 Å³/cell. The calculation puts the total energy at -3.353 eV/atom. Its formation energy without anion corrections is 0.83 eV per atom.

a b c (Å): 5.0852 5.0852 5.0852
angles (deg): 90.00 90.00 90.00
Closest atoms and distances in Å follow each position.
Positions (direct):
As 0.0000 0.0000 0.0000  12 Br 3.60
Os 0.5000 0.5000 0.5000  6 Br 2.54
Br 0.0000 0.5000 0.5000  2 Os 2.54
Br 0.5000 0.0000 0.5000  2 Os 2.54
Br 0.5000 0.5000 0.0000  2 Os 2.54

---

Entry 10:
AsOs2Br | PBE | optimized geometry

Summary:
The space-group type is I-42d, No. 122. As for the crystal system: tetragonal. The value obtained for the calculated volume is 171.4 Å³/cell. The calculation puts the total energy at -6.036 eV/atom. Its formation energy without anion corrections is 1.16 eV per atom.

a b c (Å): 6.8200 6.8200 6.8200
angles (deg): 132.06 132.06 70.14
Closest atoms and distances in Å follow each position.
Positions (direct):
As 0.0000 0.0000 0.0000  4 Os 2.37
As 0.7500 0.2500 0.5000  4 Os 2.37
Os 0.1141 0.6250 0.9891  2 As 2.37, 2 Br 2.44
Os 0.3750 0.3641 0.4891  2 As 2.37, 2 Br 2.44
Os 0.6359 0.1250 0.0109  2 As 2.37, 2 Br 2.44
Os 0.8750 0.8859 0.5109  2 As 2.37, 2 Br 2.44
Br 0.2500 0.7500 0.5000  4 Os 2.44
Br 0.5000 0.5000 0.0000  4 Os 2.44

---

Entry 11:
AsOs2Br | PBE | optimized geometry

Summary:
The space-group type is P4/mmm, No. 123. As for the crystal system: tetragonal. The value obtained for the calculated volume is 62.7 Å³/cell. The calculation puts the total energy at -6.005 eV/atom. Its formation energy without anion corrections is 1.19 eV per atom.

a b c (Å): 4.4743 4.4743 3.1343
angles (deg): 90.00 90.00 90.00
Closest atoms and distances in Å follow each position.
Positions (direct):
As 0.0000 0.0000 0.0000  8 Os 2.73
Os 0.0000 0.5000 0.5000  4 As 2.73, 4 Br 2.73
Os 0.5000 0.0000 0.5000  4 As 2.73, 4 Br 2.73
Br 0.5000 0.5000 0.0000  8 Os 2.73

---

Entry 12:
As2OsBr2 | PBE | optimized geometry

Summary:
The space-group type is P4/mbm, No. 127. As for the crystal system: tetragonal. The value obtained for the calculated volume is 228.8 Å³/cell. The calculation puts the total energy at -4.319 eV/atom. Its formation energy without anion corrections is 0.46 eV per atom.

a b c (Å): 6.5302 6.5302 5.3652
angles (deg): 90.00 90.00 90.00
Closest atoms and distances in Å follow each position.
Positions (direct):
As 0.1442 0.3558 0.0000  2 Os 2.51, 1 As 2.66, 2 Br 2.71
As 0.3558 0.8558 0.0000  2 Os 2.51, 1 As 2.66, 2 Br 2.71
As 0.6442 0.1442 0.0000  2 Os 2.51, 1 As 2.66, 2 Br 2.71
As 0.8558 0.6442 0.0000  2 Os 2.51, 1 As 2.66, 2 Br 2.71
Os 0.0000 0.0000 0.0000  4 As 2.51
Os 0.5000 0.5000 0.0000  4 As 2.51
Br 0.1887 0.3113 0.5000  2 As 2.71
Br 0.3113 0.8113 0.5000  2 As 2.71
Br 0.6887 0.1887 0.5000  2 As 2.71
Br 0.8113 0.6887 0.5000  2 As 2.71

---

Entry 13:
AsOs2Br | PBE | optimized geometry

Summary:
The space-group type is F-43m, No. 216. As for the crystal system: cubic. The value obtained for the calculated volume is 66.6 Å³/cell. The calculation puts the total energy at -5.830 eV/atom. Its formation energy without anion corrections is 1.37 eV per atom.

a b c (Å): 4.5496 4.5496 4.5496
angles (deg): 60.00 60.00 60.00
Closest atoms and distances in Å follow each position.
Positions (direct):
As 0.0000 0.0000 0.0000  4 Os 2.79, 4 Br 2.79
Os 0.5000 0.5000 0.5000  4 Os 2.79, 4 Br 2.79
Os 0.7500 0.7500 0.7500  4 As 2.79, 4 Os 2.79
Br 0.2500 0.2500 0.2500  4 As 2.79, 4 Os 2.79

---

Entry 14:
AsOs2Br | PBE | optimized geometry

Summary:
The space-group type is P2/m, No. 10. As for the crystal system: monoclinic. The value obtained for the calculated volume is 74.3 Å³/cell. The calculation puts the total energy at -6.226 eV/atom. Its formation energy without anion corrections is 0.97 eV per atom.

a b c (Å): 2.9650 3.8420 6.6333
angles (deg): 90.00 100.35 90.00
Closest atoms and distances in Å follow each position.
Positions (direct):
As 0.0000 0.0000 0.0000  4 Os 2.39
Os 0.3421 0.5000 0.1786  2 As 2.39
Os 0.6579 0.5000 0.8214  2 As 2.39
Br 0.5000 0.0000 0.5000  4 Os 2.85, 2 Br 2.97